[1]
# KDyCuTe3

An optimized crystal structure of KDyCuTe3 (PBE, the Alexandria database).

Properties
Energy relative to the elements, uncorrected (eV/atom): -0.796
E_tot (eV/atom): -3.9996

Cell and atoms, written as CIF:
```
data_KDyCuTe3
_cell_length_a 5.240
_cell_length_b 8.770
_cell_length_c 9.104
_cell_angle_alpha 80.40
_cell_angle_beta 89.96
_cell_angle_gamma 72.65
_space_group_name_H-M_alt 'P -1'
_space_group_IT_number 2
loop_
_space_group_symop_operation_xyz
'x,y,z'
'-x,-y,-z'
loop_
_atom_site_label
_atom_site_type_symbol
_atom_site_fract_x
_atom_site_fract_y
_atom_site_fract_z
_atom_site_occupancy
K1 K 0.151 0.199 0.040 1
Dy1 Dy 0.142 0.215 0.539 1
Cu1 Cu 0.480 0.538 0.689 1
Te1 Te 0.001 0.500 0.278 1
Te2 Te 0.323 0.852 0.679 1
Te3 Te 0.361 0.778 0.264 1
```


[2]
# LaPmZnNi

An optimized crystal structure of LaPmZnNi (PBE, the Alexandria database).

Properties
E_tot (eV/atom): -4.4255
DFT formation energy (kJ/mol of atoms): -23.4

Cell and atoms, written as CIF:
```
data_LaPmZnNi
_cell_length_a 7.235
_cell_length_b 7.235
_cell_length_c 7.235
_cell_angle_alpha 90.00
_cell_angle_beta 90.00
_cell_angle_gamma 90.00
_space_group_name_H-M_alt 'F -4 3 m'
_space_group_IT_number 216
_space_group_name_Hall 'F -4 2 3'
loop_
_atom_site_label
_atom_site_type_symbol
_atom_site_fract_x
_atom_site_fract_y
_atom_site_fract_z
_atom_site_occupancy
La1 La 0.000 0.000 0.000 1
Pm1 Pm 0.000 0.000 0.500 1
Zn1 Zn 0.250 0.250 0.750 1
Ni1 Ni 0.250 0.250 0.250 1
```


[3]
# KTlCd2

An optimized crystal structure of KTlCd2 (PBE, the Alexandria database).

Properties
ΔE to the lowest computed polymorph (eV per atom): 0.057
E_tot (eV/atom): -1.3331
DFT formation energy (kJ/mol of atoms): -0.9

Cell and atoms, written as CIF:
```
data_KTlCd2
_cell_length_a 7.837
_cell_length_b 7.837
_cell_length_c 7.837
_cell_angle_alpha 90.00
_cell_angle_beta 90.00
_cell_angle_gamma 90.00
_space_group_name_H-M_alt 'F m -3 m'
_space_group_IT_number 225
_space_group_name_Hall '-F 4 2 3'
loop_
_atom_site_label
_atom_site_type_symbol
_atom_site_fract_x
_atom_site_fract_y
_atom_site_fract_z
_atom_site_occupancy
K1 K 0.000 0.000 0.000 1
Tl1 Tl 0.000 0.000 0.500 1
Cd1 Cd 0.250 0.250 0.250 1
```


[4]
# NaThIn2Se4

An optimized crystal structure of NaThIn2Se4 (PBE, the Alexandria database).

Properties
Energy relative to the elements, uncorrected (eV/atom): -0.992
E_tot (eV/atom): -4.5112

Cell and atoms, written as CIF:
```
data_NaThIn2Se4
_cell_length_a 7.605
_cell_length_b 4.243
_cell_length_c 7.646
_cell_angle_alpha 90.00
_cell_angle_beta 107.69
_cell_angle_gamma 90.00
_space_group_name_H-M_alt 'P 1 2/m 1'
_space_group_IT_number 10
loop_
_space_group_symop_operation_xyz
'x,y,z'
'-x,-y,-z'
'-x,y,-z'
'x,-y,z'
loop_
_atom_site_label
_atom_site_type_symbol
_atom_site_fract_x
_atom_site_fract_y
_atom_site_fract_z
_atom_site_occupancy
Na1 Na 0.000 0.000 0.000 1
Th1 Th 0.000 0.500 0.500 1
In1 In 0.500 0.000 0.500 1
In2 In 0.500 0.500 0.000 1
Se1 Se 0.227 0.000 0.723 1
Se2 Se 0.251 0.500 0.280 1
```


[5]
# SmEr2Cu2

An optimized crystal structure of SmEr2Cu2 (PBE, the Alexandria database).

Properties
ΔE to the lowest computed polymorph (eV per atom): 0.039
E_tot (eV/atom): -4.5290
DFT formation energy (kJ/mol of atoms): -11.7

Cell and atoms, written as CIF:
```
data_SmEr2Cu2
_cell_length_a 4.981
_cell_length_b 4.604
_cell_length_c 10.677
_cell_angle_alpha 90.00
_cell_angle_beta 96.60
_cell_angle_gamma 90.00
_space_group_name_H-M_alt 'P 1 21/m 1'
_space_group_IT_number 11
loop_
_space_group_symop_operation_xyz
'x,y,z'
'-x,-y,-z'
'-x,y+1/2,-z'
'x,-y+1/2,z'
loop_
_atom_site_label
_atom_site_type_symbol
_atom_site_fract_x
_atom_site_fract_y
_atom_site_fract_z
_atom_site_occupancy
Sm1 Sm 0.191 0.250 0.242 1
Er1 Er 0.250 0.750 0.496 1
Er2 Er 0.345 0.250 0.887 1
Cu1 Cu 0.126 0.750 0.008 1
Cu2 Cu 0.284 0.250 0.635 1
```